No. 1
Density functional theory data (PBE) for Mn2Fe after structural relaxation.

ρ: 8.7 g/cm³
Energy of formation from the pure elements: 10 kJ/mol of formula units

Unit cell a=9.012 b=2.472 c=5.843 alpha=90.00 beta=104.15 gamma=90.00
Space group Cm (No. 8)
Asymmetric unit:
Mn 0.000 0.000 0.000 (multiplicity 2)
Mn 0.057 0.000 0.614 (multiplicity 2)
Mn 0.225 0.500 0.947 (multiplicity 2)
Mn 0.388 0.000 0.283 (multiplicity 2)
Fe 0.168 0.500 0.335 (multiplicity 2)
Fe 0.333 0.000 0.669 (multiplicity 2)



No. 2
Density functional theory data (PBE) for Mn3Fe5 after structural relaxation.

ρ: 8.2 g/cm³
Energy of formation from the pure elements: 61 kJ/mol of formula units

Unit cell a=2.828 b=5.637 c=5.672 alpha=90.00 beta=90.00 gamma=90.00
Space group Pmm2 (No. 25)
Asymmetric unit:
Mn 0.000 0.000 0.000 (multiplicity 1)
Mn 0.500 0.248 0.238 (multiplicity 2)
Fe 0.000 0.000 0.492 (multiplicity 1)
Fe 0.000 0.500 0.491 (multiplicity 1)
Fe 0.000 0.500 0.992 (multiplicity 1)
Fe 0.500 0.249 0.741 (multiplicity 2)